Here is a relaxed NpBeHg crystal from OQMD. Energies are from GGA-PBE.

Cell lengths 6.366, 6.366, 6.366 Å; angles 90.00, 90.00, 90.00 degrees
Space group F-43m (No. 216)
Unique sites:
Np1 0.000 0.000 0.000 [4 per cell]
Be1 0.250 0.250 0.750 [4 per cell]
Hg1 0.000 0.000 0.500 [4 per cell]

Calculated values
total magnetization	13.97	Bohr magnetons per cell
energy relative to the lowest polymorph listed for this composition	0.000	eV/atom
total DFT energy (no corrections)	-0.18404	Ha/atom